(1)
Density functional theory data (PBE-GGA) for an optimized crystal structure of NaPr2MoN4.

As for the space group: No. 121. As for the magnetization: 0.0 μB/f.u. The value obtained for the density of states at the Fermi level is 0.33 states/eV/atom. The calculated volume is 17.60 A^3/atom. The uncorrected energy comes out at -61.36 eV per cell. The uncorrected formation energy is -612 kJ/mol of formula units.

a b c (Å): 5.8236 5.8236 5.8236
angles (deg): 119.43 119.43 90.99
Last column: nearest neighbours and their distance in Å.
Element x y z (fractional)
Na: 0.0000 0.0000 0.0000  4 N 2.60
Pr: 0.2500 0.7500 0.5000  4 N 2.41
Pr: 0.7500 0.2500 0.5000  4 N 2.41
Mo: 0.5000 0.5000 0.0000  4 N 1.92
N: 0.1873 0.5981 0.0000  1 Mo 1.92
N: 0.4019 0.4019 0.5892  1 Mo 1.92
N: 0.5981 0.1873 0.0000  1 Mo 1.92
N: 0.8127 0.8127 0.4108  1 Mo 1.92

---

(2)
Density functional theory data (PBE-GGA) for an optimized crystal structure of Na3Pu2MoN6.

As for the space group: No. 12. As for the magnetization: 7.0 μB/f.u. The value obtained for the density of states at the Fermi level is 0.87 states/eV/atom. The calculated volume is 13.52 A^3/atom. The uncorrected energy comes out at -101.18 eV per cell. The uncorrected formation energy is -750 kJ/mol of formula units.

a b c (Å): 5.7491 5.7491 5.9830
angles (deg): 99.16 99.16 120.02
Last column: nearest neighbours and their distance in Å.
Element x y z (fractional)
Na: 0.0000 0.0000 0.0000  6 N 2.57-2.67
Na: 0.3393 0.6607 0.0000  6 N 2.54-2.71
Na: 0.6607 0.3393 0.0000  6 N 2.54-2.71
Pu: 0.1669 0.8331 0.5000  6 N 2.24
Pu: 0.8331 0.1669 0.5000  6 N 2.24
Mo: 0.5000 0.5000 0.5000  6 N 2.12
N: 0.1202 0.4373 0.3105  1 Mo 2.12, 2 Pu 2.24
N: 0.2448 0.2448 0.6884  1 Mo 2.12, 2 Pu 2.24
N: 0.4373 0.1202 0.3105  1 Mo 2.12, 2 Pu 2.24
N: 0.5627 0.8798 0.6895  1 Mo 2.12, 2 Pu 2.24
N: 0.7552 0.7552 0.3116  1 Mo 2.12, 2 Pu 2.24
N: 0.8798 0.5627 0.6895  1 Mo 2.12, 2 Pu 2.24

---

(3)
Density functional theory data (PBE-GGA) for an optimized crystal structure of NaPuMoN3.

As for the space group: No. 11. As for the magnetization: 4.7 μB/f.u. The value obtained for the density of states at the Fermi level is 1.45 states/eV/atom. The calculated volume is 16.80 A^3/atom. The uncorrected energy comes out at -109.19 eV per cell. The uncorrected formation energy is -302 kJ/mol of formula units.

a b c (Å): 7.0024 3.4950 8.2375
angles (deg): 90.00 90.55 90.00
Last column: nearest neighbours and their distance in Å.
Element x y z (fractional)
Na: 0.1324 0.2500 0.1432  5 N 2.62-2.81
Na: 0.8676 0.7500 0.8568  5 N 2.62-2.81
Pu: 0.4009 0.7500 0.8427  3 N 2.15-2.25
Pu: 0.5991 0.2500 0.1573  3 N 2.15-2.25
Mo: 0.1162 0.2500 0.5808  3 N 1.85-1.99
Mo: 0.8838 0.7500 0.4192  3 N 1.85-1.99
N: 0.1575 0.2500 0.8030  1 Mo 1.85
N: 0.1762 0.7500 0.4776  3 Mo 1.99-2.10
N: 0.4067 0.7500 0.1043  3 Pu 2.15-2.25
N: 0.5933 0.2500 0.8957  3 Pu 2.15-2.25
N: 0.8238 0.2500 0.5224  3 Mo 1.99-2.10
N: 0.8425 0.7500 0.1970  1 Mo 1.85

---

(4)
Density functional theory data (PBE-GGA) for an optimized crystal structure of NaMoSN2.

As for the space group: No. 123. As for the magnetization: 3.1 μB/f.u. The value obtained for the density of states at the Fermi level is 0.43 states/eV/atom. The calculated volume is 14.83 A^3/atom. The calculation puts the distance to the lowest polymorph of the same formula at 2168 meV per atom. The uncorrected energy comes out at -22.07 eV per cell. The uncorrected formation energy is 1048 kJ/mol of formula units.

a b c (Å): 4.0621 4.0621 4.4935
angles (deg): 90.00 90.00 90.00
Last column: nearest neighbours and their distance in Å.
Element x y z (fractional)
Na: 0.0000 0.0000 0.0000  2 S 2.25
Mo: 0.5000 0.5000 0.0000  4 Na 2.87, 8 N 3.03
S: 0.0000 0.0000 0.5000  4 N 2.03, 2 Na 2.25
N: 0.0000 0.5000 0.5000  2 S 2.03
N: 0.5000 0.0000 0.5000  2 S 2.03

---

(5)
Density functional theory data (PBE-GGA) for an optimized crystal structure of NaMoSN2.

As for the space group: No. 123. As for the magnetization: 3.2 μB/f.u. The value obtained for the density of states at the Fermi level is 0.67 states/eV/atom. The calculated volume is 15.24 A^3/atom. The calculation puts the distance to the lowest polymorph of the same formula at 2313 meV per atom. The uncorrected energy comes out at -21.34 eV per cell. The uncorrected formation energy is 1118 kJ/mol of formula units.

a b c (Å): 4.0179 4.0179 4.7190
angles (deg): 90.00 90.00 90.00
Last column: nearest neighbours and their distance in Å.
Element x y z (fractional)
Na: 0.0000 0.0000 0.0000  4 N 2.01
Mo: 0.5000 0.5000 0.5000  4 S 2.84, 8 N 3.10
S: 0.0000 0.0000 0.5000  2 Na 2.36
N: 0.0000 0.5000 0.0000  2 Na 2.01
N: 0.5000 0.0000 0.0000  2 Na 2.01

---

(6)
Density functional theory data (PBE-GGA) for an optimized crystal structure of NaMoSN2.

As for the space group: No. 123. As for the magnetization: 0.6 μB/f.u. The value obtained for the density of states at the Fermi level is 0.56 states/eV/atom. The calculated volume is 15.46 A^3/atom. The calculation puts the distance to the lowest polymorph of the same formula at 0 meV per atom. The uncorrected energy comes out at -32.91 eV per cell. The uncorrected formation energy is 2 kJ/mol of formula units.

a b c (Å): 3.9337 3.9337 4.9967
angles (deg): 90.00 90.00 90.00
Last column: nearest neighbours and their distance in Å.
Element x y z (fractional)
Na: 0.0000 0.0000 0.0000  4 S 2.78
Mo: 0.5000 0.5000 0.5000  4 N 1.97
S: 0.5000 0.5000 0.0000  2 Mo 2.50, 4 Na 2.78
N: 0.0000 0.5000 0.5000  2 Mo 1.97
N: 0.5000 0.0000 0.5000  2 Mo 1.97